The following is a DFT calculation (PBE-GGA) of crystalline ErTa2Ni9 at its relaxed geometry.

Geometry as CIF:
```
data_ErTa2Ni9
_chemical_formula_sum 'Er3 Ta6 Ni27'
_symmetry_space_group_name_H-M 'R -3 m'
_symmetry_Int_Tables_number 166
_symmetry_space_group_name_Hall '-R 3 2"'
_cell_length_a 4.8066
_cell_length_b 4.8066
_cell_length_c 23.5466
_cell_angle_alpha 90.00
_cell_angle_beta 90.00
_cell_angle_gamma 120.00
loop_
_atom_site_label
_atom_site_type_symbol
_atom_site_fract_x
_atom_site_fract_y
_atom_site_fract_z
Er1 Er 0.0000 0.0000 0.0000
Ta1 Ta 0.0000 0.0000 0.1416
Ni1 Ni 0.0000 0.0000 0.3337
Ni2 Ni 0.0000 0.0000 0.5000
Ni3 Ni 0.0053 0.5027 0.9133
```

---

The following is a DFT calculation (PBE-GGA) of crystalline ErTaNi2 at its relaxed geometry.

Geometry as CIF:
```
data_ErTaNi2
_chemical_formula_sum 'Er1 Ta1 Ni2'
_symmetry_space_group_name_H-M 'P 4/m m m'
_symmetry_Int_Tables_number 123
_symmetry_space_group_name_Hall '-P 4 2'
_cell_length_a 3.178
_cell_length_b 3.178
_cell_length_c 6.640
_cell_angle_alpha 90.00
_cell_angle_beta 90.00
_cell_angle_gamma 90.00
loop_
_atom_site_label
_atom_site_type_symbol
_atom_site_fract_x
_atom_site_fract_y
_atom_site_fract_z
Er1 Er 0.000 0.000 0.000
Ta1 Ta 0.000 0.000 0.500
Ni1 Ni 0.500 0.500 0.301
```

---

The following is a DFT calculation (PBE-GGA) of crystalline ErTaNi2 at its relaxed geometry.

Geometry as CIF:
```
data_ErTaNi2
_chemical_formula_sum 'Er3 Ta3 Ni6'
_symmetry_space_group_name_H-M 'R -3 m'
_symmetry_Int_Tables_number 166
_symmetry_space_group_name_Hall '-R 3 2"'
_cell_length_a 4.2498
_cell_length_b 4.2498
_cell_length_c 13.7600
_cell_angle_alpha 90.00
_cell_angle_beta 90.00
_cell_angle_gamma 120.00
loop_
_atom_site_label
_atom_site_type_symbol
_atom_site_fract_x
_atom_site_fract_y
_atom_site_fract_z
Er1 Er 0.0000 0.0000 0.0000
Ta1 Ta 0.0000 0.0000 0.5000
Ni1 Ni 0.0000 0.0000 0.2046
```

---

The following is a DFT calculation (PBE-GGA) of crystalline TbErNi10 at its relaxed geometry.

Geometry as CIF:
```
data_TbErNi10
_chemical_formula_sum 'Tb1 Er1 Ni10'
_symmetry_space_group_name_H-M 'P m m m'
_symmetry_Int_Tables_number 47
_symmetry_space_group_name_Hall '-P 2 2'
_cell_length_a 3.957
_cell_length_b 4.875
_cell_length_c 8.432
_cell_angle_alpha 90.00
_cell_angle_beta 90.00
_cell_angle_gamma 90.00
loop_
_atom_site_label
_atom_site_type_symbol
_atom_site_fract_x
_atom_site_fract_y
_atom_site_fract_z
Tb1 Tb 0.000 0.000 0.000
Er1 Er 0.000 0.500 0.500
Ni1 Ni 0.000 0.000 0.335
Ni2 Ni 0.000 0.500 0.168
Ni3 Ni 0.500 0.000 0.500
Ni4 Ni 0.500 0.251 0.251
Ni5 Ni 0.500 0.500 0.000
```

---

no.,formation energy from the elements (meV/atom),magnetic moment (μB per atom)
1,-312,0.000
2,-256,0.000
3,-257,0.000
4,-331,0.238